TbScGa after structural relaxation, computed with GGA-PBE.

a b c (Å): 4.3324 4.3324 7.7565
angles (deg): 90.00 90.00 90.00
Last column: nearest neighbours and their distance in Å.
Space group P4/nmm (No. 129, origin choice 2)
Asymmetric unit:
Tb1 0.2500 0.2500 0.1447 x2  5 Ga 3.05-3.17
Sc1 0.2500 0.7500 0.5000 x2  4 Ga 2.91, 4 Sc 3.06
Ga1 0.2500 0.2500 0.7514 x2  4 Sc 2.91, 5 Tb 3.05-3.17

## Properties
- size of the total moment (μB per cell) = 2.27
- excess energy over the best structure of this formula in the dataset (meV per atom) = 8.9

---

SmTm2Sn after structural relaxation, computed with GGA-PBE.

a b c (Å): 4.5970 4.6853 11.3598
angles (deg): 90.00 101.63 90.00
Last column: nearest neighbours and their distance in Å.
Space group P2_1/m (No. 11)
Asymmetric unit:
Sm1 0.1918 0.2500 0.3851 x2  5 Sn 3.22-3.35
Tm1 0.0571 0.7500 0.1144 x2  8 Tm 3.28-3.53, 2 Sn 3.29
Tm2 0.4368 0.7500 0.8733 x2  2 Sn 3.22, 6 Tm 3.28-3.53
Sn1 0.3380 0.2500 0.6741 x2  5 Sm 3.22-3.35, 4 Tm 3.22-3.29

## Properties
- size of the total moment (μB per cell) = 0.00
- excess energy over the best structure of this formula in the dataset (meV per atom) = 0.0

---

excess energy over the best structure of this formula in the dataset of number 2 (SmTm2Sn)?
0.0 meV per atom